Version w
Density functional theory data (GGA-PBE) for a geometry-optimized PaReN4 structure.

Geometry as CIF:
```
data_PaReN4
_chemical_formula_sum 'Pa4 Re4 N16'
_space_group_name_H-M_alt 'P b c n'
_space_group_IT_number 60
_cell_length_a 5.173
_cell_length_b 11.604
_cell_length_c 5.369
_cell_angle_alpha 90.00
_cell_angle_beta 90.00
_cell_angle_gamma 90.00
loop_
_space_group_symop_operation_xyz
'x,y,z'
'-x,-y,-z'
'-x+1/2,-y+1/2,z+1/2'
'x+1/2,y+1/2,-z+1/2'
'x+1/2,-y+1/2,-z'
'-x+1/2,y+1/2,z'
'-x,y,-z+1/2'
'x,-y,z+1/2'
loop_
_atom_site_label
_atom_site_fract_x
_atom_site_fract_y
_atom_site_fract_z
Pa1 0.000 0.115 0.250
Re1 0.000 0.395 0.250
N1 0.161 0.295 0.050
N2 0.237 0.032 0.944
```

---

Version x
Density functional theory data (GGA-PBE) for a geometry-optimized PaReN4 structure.

Geometry as CIF:
```
data_PaReN4
_chemical_formula_sum 'Pa2 Re2 N8'
_space_group_name_H-M_alt 'P 1 21/c 1'
_space_group_IT_number 14
_cell_length_a 5.752
_cell_length_b 5.037
_cell_length_c 5.831
_cell_angle_alpha 90.00
_cell_angle_beta 110.68
_cell_angle_gamma 90.00
loop_
_space_group_symop_operation_xyz
'x,y,z'
'-x,-y,-z'
'-x,y+1/2,-z+1/2'
'x,-y+1/2,z+1/2'
loop_
_atom_site_label
_atom_site_fract_x
_atom_site_fract_y
_atom_site_fract_z
Pa1 0.000 0.000 0.000
Re1 0.500 0.000 0.500
N1 0.169 0.153 0.380
N2 0.384 0.711 0.697
```

---

The winner here is version w, beating the second structure by 179 meV per atom.

---

Version w
Density functional theory data (GGA-PBE) for a geometry-optimized Pa2ReN structure.

Geometry as CIF:
```
data_Pa2ReN
_chemical_formula_sum 'Pa2 Re1 N1'
_space_group_name_H-M_alt 'P 4/m m m'
_space_group_IT_number 123
_space_group_name_Hall '-P 4 2'
_cell_length_a 3.045
_cell_length_b 3.045
_cell_length_c 7.250
_cell_angle_alpha 90.00
_cell_angle_beta 90.00
_cell_angle_gamma 90.00
loop_
_atom_site_label
_atom_site_fract_x
_atom_site_fract_y
_atom_site_fract_z
Pa1 0.000 0.000 0.216
Re1 0.500 0.500 0.500
N1 0.500 0.500 0.000
```

---

Version x
Density functional theory data (GGA-PBE) for a geometry-optimized Pa2ReN structure.

Geometry as CIF:
```
data_Pa2ReN
_chemical_formula_sum 'Pa6 Re3 N3'
_space_group_name_H-M_alt 'R -3 m'
_space_group_IT_number 166
_space_group_name_Hall '-R 3 2"'
_cell_length_a 5.3065
_cell_length_b 5.3065
_cell_length_c 9.5117
_cell_angle_alpha 90.00
_cell_angle_beta 90.00
_cell_angle_gamma 120.00
loop_
_atom_site_label
_atom_site_fract_x
_atom_site_fract_y
_atom_site_fract_z
Pa1 0.0000 0.0000 0.2263
Re1 0.0000 0.0000 0.5000
N1 0.0000 0.0000 0.0000
```

---

The winner here is version w, beating the second structure by 119 meV per atom.

---

Version w
Density functional theory data (GGA-PBE) for a geometry-optimized Pa2RhN structure.

Geometry as CIF:
```
data_Pa2RhN
_chemical_formula_sum 'Pa2 Rh1 N1'
_space_group_name_H-M_alt 'P 4/m m m'
_space_group_IT_number 123
_space_group_name_Hall '-P 4 2'
_cell_length_a 3.022
_cell_length_b 3.022
_cell_length_c 7.270
_cell_angle_alpha 90.00
_cell_angle_beta 90.00
_cell_angle_gamma 90.00
loop_
_atom_site_label
_atom_site_fract_x
_atom_site_fract_y
_atom_site_fract_z
Pa1 0.000 0.000 0.212
Rh1 0.500 0.500 0.500
N1 0.500 0.500 0.000
```

---

Version x
Density functional theory data (GGA-PBE) for a geometry-optimized Pa2RhN structure.

Geometry as CIF:
```
data_Pa2RhN
_chemical_formula_sum 'Pa6 Rh3 N3'
_space_group_name_H-M_alt 'R -3 m'
_space_group_IT_number 166
_space_group_name_Hall '-R 3 2"'
_cell_length_a 3.4820
_cell_length_b 3.4820
_cell_length_c 20.8174
_cell_angle_alpha 90.00
_cell_angle_beta 90.00
_cell_angle_gamma 120.00
loop_
_atom_site_label
_atom_site_fract_x
_atom_site_fract_y
_atom_site_fract_z
Pa1 0.0000 0.0000 0.2355
Rh1 0.0000 0.0000 0.0000
N1 0.0000 0.0000 0.5000
```

---

The winner here is version x, beating the second structure by 317 meV per atom.

---

Version w
Density functional theory data (GGA-PBE) for a geometry-optimized Pa2RuN structure.

Geometry as CIF:
```
data_Pa2RuN
_chemical_formula_sum 'Pa6 Ru3 N3'
_space_group_name_H-M_alt 'R -3 m'
_space_group_IT_number 166
_space_group_name_Hall '-R 3 2"'
_cell_length_a 3.5493
_cell_length_b 3.5493
_cell_length_c 20.0907
_cell_angle_alpha 90.00
_cell_angle_beta 90.00
_cell_angle_gamma 120.00
loop_
_atom_site_label
_atom_site_fract_x
_atom_site_fract_y
_atom_site_fract_z
Pa1 0.0000 0.0000 0.2372
Ru1 0.0000 0.0000 0.0000
N1 0.0000 0.0000 0.5000
```

---

Version x
Density functional theory data (GGA-PBE) for a geometry-optimized Pa2RuN structure.

Geometry as CIF:
```
data_Pa2RuN
_chemical_formula_sum 'Pa2 Ru1 N1'
_space_group_name_H-M_alt 'P 4/m m m'
_space_group_IT_number 123
_space_group_name_Hall '-P 4 2'
_cell_length_a 3.035
_cell_length_b 3.035
_cell_length_c 7.134
_cell_angle_alpha 90.00
_cell_angle_beta 90.00
_cell_angle_gamma 90.00
loop_
_atom_site_label
_atom_site_fract_x
_atom_site_fract_y
_atom_site_fract_z
Pa1 0.000 0.000 0.217
Ru1 0.500 0.500 0.500
N1 0.500 0.500 0.000
```

---

The winner here is version w, beating the second structure by 261 meV per atom.